Run A
The following is a DFT calculation (PBE-GGA) of a geometry-optimized CrRuSe structure.

```
CrRuSe
1.0
11.8356 0.0000 0.0000
0.0000 1.4724 2.5568
0.0000 -1.4724 2.5568
Cr Ru Se
2 2 2
Cartesian
0.0000 0.0000 0.0000
5.9178 0.0000 0.1122
4.0764 0.0000 3.5372
7.7592 0.0000 3.5372
1.6982 0.0000 1.6978
10.1374 0.0000 1.6978
```

Results
Crystal system: orthorhombic


Run B
The following is a DFT calculation (PBE-GGA) of a geometry-optimized CrRuSe structure.

```
CrRuSe
1.0
-1.5178 1.9441 3.7177
1.5178 -1.9441 3.7177
1.5178 1.9441 -3.7177
Cr Ru Se
1 1 1
Cartesian
0.0000 0.0000 0.0000
0.0000 0.0000 4.8746
0.0000 0.0000 2.4071
```

Results
Crystal system: orthorhombic


Ordering by calculated energy gives the sequence run A, run B, with the first entry being the most stable.


Run A
The following is a DFT calculation (PBE-GGA) of a geometry-optimized Cr3SiRu structure.

```
Cr3SiRu
1.0
4.6171 0.0000 0.0000
0.0000 4.6171 0.0000
0.0000 0.0000 4.6171
Cr Si Ru
3 1 1
Cartesian
0.0000 0.0000 2.3086
0.0000 2.3086 0.0000
2.3086 0.0000 0.0000
2.3086 2.3086 2.3086
0.0000 0.0000 0.0000
```

Results
Crystal system: cubic


Run B
The following is a DFT calculation (PBE-GGA) of a geometry-optimized Cr3SiRu structure.

```
Cr3SiRu
1.0
4.2221 0.0000 0.0000
0.0000 4.2221 0.0000
0.0000 0.0000 4.2221
Cr Si Ru
3 1 1
Cartesian
0.0000 0.0000 2.1110
0.0000 2.1110 0.0000
2.1110 0.0000 0.0000
0.0000 0.0000 0.0000
2.1110 2.1110 2.1110
```

Results
Crystal system: cubic


Ordering by calculated energy gives the sequence run B, run A, with the first entry being the most stable.


Run A
The following is a DFT calculation (PBE-GGA) of a geometry-optimized Cr2SnRu2 structure.

```
Cr2SnRu2
1.0
-1.9064 1.9064 5.5223
1.9064 -1.9064 5.5223
1.9064 1.9064 -5.5223
Cr Sn Ru
2 1 2
Cartesian
1.9064 0.0000 2.7612
0.0000 1.9064 2.7612
0.0000 0.0000 0.0000
0.0000 0.0000 4.2370
0.0000 0.0000 6.8077
```

Results
Crystal system: tetragonal


Run B
The following is a DFT calculation (PBE-GGA) of a geometry-optimized Cr2SnRu2 structure.

```
Cr2SnRu2
1.0
7.2989 0.0000 0.0000
0.0000 7.2989 0.0000
0.0000 0.0000 2.8234
Cr Sn Ru
4 2 4
Cartesian
1.1551 2.4943 0.0000
2.4943 6.1438 0.0000
4.8046 1.1551 0.0000
6.1438 4.8046 0.0000
0.0000 0.0000 1.4117
3.6495 3.6495 1.4117
0.9558 4.6053 1.4117
2.6937 0.9558 1.4117
4.6053 6.3431 1.4117
6.3431 2.6937 1.4117
```

Results
Crystal system: tetragonal


Ordering by calculated energy gives the sequence run B, run A, with the first entry being the most stable.


Run A
The following is a DFT calculation (PBE-GGA) of a geometry-optimized CrSn2Ru structure.

```
CrSn2Ru
1.0
0.0000 3.2885 3.2885
3.2885 0.0000 3.2885
3.2885 3.2885 0.0000
Cr Sn Ru
1 2 1
Cartesian
0.0000 0.0000 0.0000
1.6442 1.6442 1.6442
4.9327 4.9327 4.9327
3.2885 3.2885 3.2885
```

Results
Crystal system: cubic


Run B
The following is a DFT calculation (PBE-GGA) of a geometry-optimized CrSn2Ru structure.

```
CrSn2Ru
1.0
-3.6761 3.6761 3.0049
3.6761 -3.6761 3.0049
3.6761 3.6761 -3.0049
Cr Sn Ru
2 4 2
Cartesian
0.0000 0.0000 0.0000
0.0000 3.6761 1.5024
1.8380 -1.7356 2.2537
1.9405 1.8380 0.7512
1.8380 5.4116 -0.7512
1.7356 1.8380 3.7561
3.6761 0.0000 1.5024
0.0000 0.0000 3.0049
```

Results
Crystal system: tetragonal


Ordering by calculated energy gives the sequence run A, run B, with the first entry being the most stable.


Run A
The following is a DFT calculation (PBE-GGA) of a geometry-optimized SrCrRu2 structure.

```
SrCrRu2
1.0
-2.4968 2.4968 7.7031
2.4968 -2.4968 7.7031
2.4968 2.4968 -7.7031
Sr Cr Ru
2 2 4
Cartesian
2.4968 1.2484 1.9258
0.0000 1.2484 5.7773
2.4968 -1.2484 5.7773
0.0000 3.7452 1.9258
0.0000 0.0000 0.0000
1.2484 1.2484 -3.8516
1.2484 -1.2484 3.8516
0.0000 2.4968 0.0000
```

Results
Crystal system: tetragonal


Run B
The following is a DFT calculation (PBE-GGA) of a geometry-optimized SrCrRu2 structure.

```
SrCrRu2
1.0
0.0000 3.2203 3.2203
3.2203 0.0000 3.2203
3.2203 3.2203 0.0000
Sr Cr Ru
1 1 2
Cartesian
0.0000 0.0000 0.0000
3.2203 3.2203 3.2203
1.6102 1.6102 1.6102
4.8305 4.8305 4.8305
```

Results
Crystal system: cubic


Run C
The following is a DFT calculation (PBE-GGA) of a geometry-optimized SrCrRu2 structure.

```
SrCrRu2
1.0
-1.4965 2.4747 5.0017
1.4965 -2.4747 5.0017
1.4965 2.4747 -5.0017
Sr Cr Ru
1 1 2
Cartesian
0.0000 0.0000 0.0000
1.4965 0.0000 2.8765
0.0000 0.0000 5.0710
0.0000 2.4747 2.1935
```

Results
Crystal system: orthorhombic


Run D
The following is a DFT calculation (PBE-GGA) of a geometry-optimized SrCrRu2 structure.

```
SrCrRu2
1.0
0.0000 3.3154 3.3154
3.3154 0.0000 3.3154
3.3154 3.3154 0.0000
Sr Cr Ru
1 1 2
Cartesian
0.0000 0.0000 0.0000
4.9731 4.9731 4.9731
1.6577 1.6577 1.6577
3.3154 3.3154 3.3154
```

Results
Crystal system: cubic


Ordering by calculated energy gives the sequence run C, run A, run B, run D, with the first entry being the most stable.


Run A
The following is a DFT calculation (PBE-GGA) of a geometry-optimized SrCr2Ru structure.

```
SrCr2Ru
1.0
4.3246 0.0000 0.0000
0.0000 4.3246 0.0000
0.0000 0.0000 4.1759
Sr Cr Ru
1 2 1
Cartesian
0.0000 0.0000 0.0000
0.0000 2.1623 2.0880
2.1623 0.0000 2.0880
2.1623 2.1623 0.0000
```

Results
Crystal system: tetragonal


Run B
The following is a DFT calculation (PBE-GGA) of a geometry-optimized SrCr2Ru structure.

```
SrCr2Ru
1.0
3.0374 0.0000 0.0000
0.0000 3.6591 0.0000
0.0000 0.0000 6.9580
Sr Cr Ru
1 2 1
Cartesian
0.0000 0.0000 0.0000
1.5187 1.8296 2.4863
1.5187 1.8296 4.4717
0.0000 0.0000 3.4790
```

Results
Crystal system: orthorhombic


Ordering by calculated energy gives the sequence run B, run A, with the first entry being the most stable.


Run A
The following is a DFT calculation (PBE-GGA) of a geometry-optimized SrCr2Ru structure.

```
SrCr2Ru
1.0
4.5291 -1.5590 0.0000
4.5291 1.5590 0.0000
-1.6543 0.0000 5.7141
Sr Cr Ru
1 2 1
Cartesian
0.0000 0.0000 0.0000
3.7293 0.0000 2.9174
6.6246 0.0000 2.1194
0.9614 0.0000 3.6570
```

Results
Crystal system: monoclinic


Run B
The following is a DFT calculation (PBE-GGA) of a geometry-optimized SrCr2Ru structure.

```
SrCr2Ru
1.0
1.5408 0.8896 9.4148
-1.5408 0.8896 9.4148
0.0000 -1.7791 9.4148
Sr Cr Ru
1 2 1
Cartesian
0.0000 0.0000 0.0000
0.0000 0.0000 6.5885
0.0000 0.0000 21.6559
0.0000 0.0000 14.1222
```

Results
Crystal system: trigonal


Ordering by calculated energy gives the sequence run A, run B, with the first entry being the most stable.